A geometry-optimized TaZnC2 structure, computed with PBE.

Cell lengths 4.9278, 4.9278, 9.1523 Å; angles 90.00, 90.00, 90.00 degrees
Element x y z (fractional)
Ta  0.0000  0.0000  0.0000
Ta  0.0000  0.5000  0.2500
Ta  0.5000  0.0000  0.7500
Ta  0.5000  0.5000  0.5000
Zn  0.0000  0.0000  0.5000
Zn  0.0000  0.5000  0.7500
Zn  0.5000  0.0000  0.2500
Zn  0.5000  0.5000  0.0000
C  0.2378  0.2500  0.1250
C  0.2500  0.7378  0.3750
C  0.2500  0.7622  0.8750
C  0.2622  0.2500  0.6250
C  0.7378  0.7500  0.6250
C  0.7500  0.2378  0.8750
C  0.7500  0.2622  0.3750
C  0.7622  0.7500  0.1250

Output
Total DFT energy (no corrections), eV for the cell shown: -115.656
Symmetry: I-42d (122)
Volume, Å³ per cell: 222
M_tot, μB/cell: 0.00
Calculated formation energy, eV per formula unit: 2.66
Density of states at the Fermi level, states/eV/f.u.: 2.586